Na3BeSn | SCAN | single point on PBEsol structure

Properties
The volume is 39.9 Å³/atom. For the magnetic moment, the calculation gives 1.010 Bohr magnetons per cell. Its electronic total energy is -9.8944 eV per atom.

Cell: 5.841 5.841 5.841 Å, 90.00 90.00 90.00°
Space group Pm-3m (No. 221)
Unique sites:
1 Na 0.000 0.000 0.500 [3 per cell]
2 Be 0.500 0.500 0.500 [1 per cell]
3 Sn 0.000 0.000 0.000 [1 per cell]

NaBe3Sn | SCAN | single point on PBEsol structure

Properties
The volume is 18.1 Å³/atom. For the magnetic moment, the calculation gives 0.000 Bohr magnetons per cell. Its electronic total energy is -8.9830 eV per atom.

Cell: 4.486 4.486 4.486 Å, 90.00 90.00 90.00°
Space group Pm-3m (No. 221)
Unique sites:
1 Na 0.000 0.000 0.000 [1 per cell]
2 Be 0.000 0.000 0.500 [3 per cell]
3 Sn 0.500 0.500 0.500 [1 per cell]

NaBe3Sn | SCAN | single point on PBEsol structure

Properties
The volume is 20.6 Å³/atom. For the magnetic moment, the calculation gives 0.000 Bohr magnetons per cell. Its electronic total energy is -9.5789 eV per atom.

Cell: 4.689 4.689 4.689 Å, 90.00 90.00 90.00°
Space group Pm-3m (No. 221)
Unique sites:
1 Na 0.000 0.000 0.000 [1 per cell]
2 Be 0.000 0.500 0.500 [3 per cell]
3 Sn 0.500 0.500 0.500 [1 per cell]

NaBeTcSn2 | SCAN | single point on PBEsol structure

Properties
The volume is 27.6 Å³/atom. For the magnetic moment, the calculation gives 0.853 Bohr magnetons per cell. Its electronic total energy is -22.1533 eV per atom.

Cell: 5.052 5.052 5.400 Å, 90.00 90.00 90.00°
Space group P4/mmm (No. 123)
Unique sites:
1 Na 0.000 0.000 0.000 [1 per cell]
2 Be 0.500 0.500 0.000 [1 per cell]
3 Tc 0.000 0.000 0.500 [1 per cell]
4 Sn 0.000 0.500 0.500 [2 per cell]

Na2SrYBe | SCAN | single point on PBEsol structure

Properties
The volume is 32.7 Å³/atom. For the magnetic moment, the calculation gives 0.573 Bohr magnetons per cell. Its electronic total energy is -12.1030 eV per atom.

Cell: 5.511 5.511 5.381 Å, 90.00 90.00 90.00°
Space group P4/mmm (No. 123)
Unique sites:
1 Na 0.000 0.500 0.000 [2 per cell]
2 Sr 0.000 0.000 0.500 [1 per cell]
3 Y 0.500 0.500 0.500 [1 per cell]
4 Be 0.500 0.500 0.000 [1 per cell]

NaTa3Be | SCAN | single point on PBEsol structure

Properties
The volume is 17.9 Å³/atom. For the magnetic moment, the calculation gives 0.000 Bohr magnetons per cell. Its electronic total energy is -40.5481 eV per atom.

Cell: 4.475 4.475 4.475 Å, 90.00 90.00 90.00°
Space group Pm-3m (No. 221)
Unique sites:
1 Na 0.000 0.000 0.000 [1 per cell]
2 Ta 0.000 0.500 0.500 [3 per cell]
3 Be 0.500 0.500 0.500 [1 per cell]